No. 1
Below is crystalline Mg12AlIn3 at its relaxed geometry, with properties calculated at the PBE level.

Lattice parameters (Å, degrees): 4.431 4.431 18.181 90.00 90.00 90.00
Space group P4/mmm (No. 123)
Inequivalent atoms, fractional coordinates:
Mg 0.000 0.000 0.000 [1 per cell]
Mg 0.000 0.000 0.246 [2 per cell]
Mg 0.000 0.000 0.500 [1 per cell]
Mg 0.000 0.500 0.119 [4 per cell]
Mg 0.000 0.500 0.373 [4 per cell]
Al 0.500 0.500 0.000 [1 per cell]
In 0.500 0.500 0.247 [2 per cell]
In 0.500 0.500 0.500 [1 per cell]

## Properties
Formation enthalpy at 0 K ... -0.059 eV/atom
VASP energy ... -2.0027 eV/atom
M_tot ... 0.00 μB/f.u.
Calculated volume ... 22.3 Å³ per atom

No. 2
Below is crystalline Ca5Hg2Sb5 at its relaxed geometry, with properties calculated at the PBE level.

Lattice parameters (Å, degrees): 16.701 4.595 11.592 90.00 127.27 90.00
Space group C2/m (No. 12)
Inequivalent atoms, fractional coordinates:
Ca 0.000 0.000 0.000 [2 per cell]
Ca 0.099 0.000 0.401 [4 per cell]
Ca 0.185 0.000 0.817 [4 per cell]
Hg 0.135 0.500 0.199 [4 per cell]
Sb 0.000 0.500 0.500 [2 per cell]
Sb 0.075 0.500 0.871 [4 per cell]
Sb 0.229 0.500 0.653 [4 per cell]

## Properties
VASP energy ... -3.2918 eV/atom
M_tot ... 0.00 μB/f.u.
Raw formation energy ... -66.57 kJ/mol of atoms
Calculated volume ... 29.5 Å³ per atom

No. 3
Below is crystalline Dy2Al4InAu3 at its relaxed geometry, with properties calculated at the PBE level.

Lattice parameters (Å, degrees): 4.286 4.286 11.074 90.00 90.00 90.00
Space group P-4m2 (No. 115)
Inequivalent atoms, fractional coordinates:
Dy 0.000 0.500 0.245 [2 per cell]
Al 0.000 0.000 0.000 [1 per cell]
Al 0.000 0.500 0.649 [2 per cell]
Al 0.500 0.500 0.000 [1 per cell]
In 0.000 0.000 0.500 [1 per cell]
Au 0.000 0.500 0.869 [2 per cell]
Au 0.500 0.500 0.500 [1 per cell]

## Properties
Formation enthalpy at 0 K ... -0.611 eV/atom
VASP energy ... -4.2851 eV/atom
M_tot ... 0.00 μB/f.u.
Calculated volume ... 20.3 Å³ per atom

No. 4
Below is crystalline Ac2Pr2Ho at its relaxed geometry, with properties calculated at the PBE level.

Lattice parameters (Å, degrees): 4.954 4.954 16.862 90.00 90.00 90.00
Space group I4/mmm (No. 139)
Inequivalent atoms, fractional coordinates:
Ac 0.000 0.500 0.250 [4 per cell]
Pr 0.000 0.000 0.091 [4 per cell]
Ho 0.000 0.000 0.500 [2 per cell]

## Properties
Formation enthalpy at 0 K ... 0.451 eV/atom
VASP energy ... -4.0194 eV/atom
M_tot ... 0.00 μB/f.u.
Calculated volume ... 41.4 Å³ per atom
Energy relative to the lowest polymorph listed for this composition ... 319 meV per atom

No. 5
Below is crystalline TaNi2Rh at its relaxed geometry, with properties calculated at the PBE level.

Lattice parameters (Å, degrees): 6.015 6.015 6.015 90.00 90.00 90.00
Space group F-43m (No. 216)
Inequivalent atoms, fractional coordinates:
Ta 0.000 0.000 0.000 [4 per cell]
Ni 0.000 0.000 0.500 [4 per cell]
Ni 0.250 0.250 0.250 [4 per cell]
Rh 0.250 0.250 0.750 [4 per cell]

## Properties
Formation enthalpy at 0 K ... -0.248 eV/atom
VASP energy ... -7.9396 eV/atom
M_tot ... 0.00 μB/f.u.
Calculated volume ... 13.6 Å³ per atom

No. 6
Below is crystalline Mg2CoCl2 at its relaxed geometry, with properties calculated at the PBE level.

Lattice parameters (Å, degrees): 5.221 5.221 7.096 90.00 90.00 90.00
Space group I4/mmm (No. 139)
Inequivalent atoms, fractional coordinates:
Mg 0.000 0.500 0.250 [4 per cell]
Co 0.000 0.000 0.000 [2 per cell]
Cl 0.000 0.000 0.296 [4 per cell]

## Properties
VASP energy ... -3.0363 eV/atom
M_tot ... 0.00 μB/f.u.
Raw formation energy ... -23.02 kJ/mol of atoms
Calculated volume ... 19.3 Å³ per atom
Energy relative to the lowest polymorph listed for this composition ... 0 meV per atom

No. 7
Below is crystalline BeB2Pd8 at its relaxed geometry, with properties calculated at the PBE level.

Lattice parameters (Å, degrees): 12.806 4.259 5.711 90.00 108.45 90.00
Space group C2/m (No. 12)
Inequivalent atoms, fractional coordinates:
Be 0.000 0.000 0.000 [2 per cell]
B 0.137 0.500 0.652 [4 per cell]
Pd 0.038 0.500 0.287 [4 per cell]
Pd 0.100 0.000 0.705 [4 per cell]
Pd 0.181 0.500 0.028 [4 per cell]
Pd 0.200 0.000 0.340 [4 per cell]

## Properties
Formation enthalpy at 0 K ... -0.201 eV/atom
VASP energy ... -5.5303 eV/atom
M_tot ... 0.00 μB/f.u.
Calculated volume ... 13.4 Å³ per atom

No. 8
Below is crystalline Tm4CoIr2 at its relaxed geometry, with properties calculated at the PBE level.

Lattice parameters (Å, degrees): 4.7135 4.7135 23.2449 90.00 90.00 120.00
Space group R-3m (No. 166, hexagonal axes)
Inequivalent atoms, fractional coordinates:
Tm 0.0000 0.0000 0.1248 [6 per cell]
Tm 0.0000 0.0000 0.3754 [6 per cell]
Co 0.0000 0.0000 0.0000 [3 per cell]
Ir 0.0000 0.0000 0.2509 [6 per cell]

## Properties
Formation enthalpy at 0 K ... -0.695 eV/atom
VASP energy ... -6.7974 eV/atom
M_tot ... 0.00 μB/f.u.
Calculated volume ... 21.3 Å³ per atom

No. 9
Below is crystalline Ho3As2PtRh9 at its relaxed geometry, with properties calculated at the PBE level.

Lattice parameters (Å, degrees): 6.2576 6.2576 9.0913 90.00 90.00 120.00
Space group P-3m1 (No. 164)
Inequivalent atoms, fractional coordinates:
Ho 0.0000 0.0000 0.0000 [1 per cell]
Ho 0.3333 0.6667 0.7344 [2 per cell]
As 0.3333 0.6667 0.1747 [2 per cell]
Pt 0.0000 0.0000 0.5000 [1 per cell]
Rh 0.0000 0.5000 0.0000 [3 per cell]
Rh 0.1400 0.2800 0.2688 [6 per cell]

## Properties
Formation enthalpy at 0 K ... -0.317 eV/atom
VASP energy ... -6.6663 eV/atom
M_tot ... 0.00 μB/f.u.
Calculated volume ... 20.6 Å³ per atom

No. 10
Below is crystalline CuAg2SnGe at its relaxed geometry, with properties calculated at the PBE level.

Lattice parameters (Å, degrees): 4.964 4.964 4.577 90.00 90.00 90.00
Space group P4/mmm (No. 123)
Inequivalent atoms, fractional coordinates:
Cu 0.000 0.000 0.000 [1 per cell]
Ag 0.000 0.500 0.500 [2 per cell]
Sn 0.500 0.500 0.000 [1 per cell]
Ge 0.000 0.000 0.500 [1 per cell]

## Properties
Formation enthalpy at 0 K ... 0.395 eV/atom
VASP energy ... -3.2884 eV/atom
M_tot ... 0.00 μB/f.u.
Calculated volume ... 22.6 Å³ per atom

No. 11
Below is crystalline Li2Nd3Tl3 at its relaxed geometry, with properties calculated at the PBE level.

Lattice parameters (Å, degrees): 18.055 4.700 5.019 90.00 106.03 90.00
Space group C2/m (No. 12)
Inequivalent atoms, fractional coordinates:
Li 0.242 0.000 0.242 [4 per cell]
Nd 0.000 0.000 0.000 [2 per cell]
Nd 0.141 0.000 0.641 [4 per cell]
Tl 0.000 0.500 0.500 [2 per cell]
Tl 0.152 0.500 0.153 [4 per cell]

## Properties
Formation enthalpy at 0 K ... -0.290 eV/atom
VASP energy ... -3.4433 eV/atom
M_tot ... 0.00 μB/f.u.
Calculated volume ... 25.6 Å³ per atom
Energy relative to the lowest polymorph listed for this composition ... 0 meV per atom

No. 12
Below is crystalline CaDyTl at its relaxed geometry, with properties calculated at the PBE level.

Lattice parameters (Å, degrees): 5.4086 5.4086 6.9343 90.00 90.00 120.00
Space group P6_3/mmc (No. 194)
Inequivalent atoms, fractional coordinates:
Ca 0.0000 0.0000 0.0000 [2 per cell]
Dy 0.3333 0.6667 0.2500 [2 per cell]
Tl 0.3333 0.6667 0.7500 [2 per cell]

## Properties
Formation enthalpy at 0 K ... -0.321 eV/atom
VASP energy ... -3.3106 eV/atom
M_tot ... 0.00 μB/f.u.
Calculated volume ... 29.3 Å³ per atom
Energy relative to the lowest polymorph listed for this composition ... 0 meV per atom